Here is a relaxed GaCoCuF6 crystal from Alexandria. Energies are from PBE with a Hubbard U.

Properties
E_tot   -4.643 eV/atom
Density of states at the Fermi level   0.92 states/eV/atom

a = 5.2852 Å, b = 5.2852 Å, c = 9.3553 Å
α = 90.00°, β = 90.00°, γ = 120.00°
Closest atoms and distances in Å follow each position.
Space group P-31c (No. 163)
Symmetry-distinct sites (fractional):
1 Ga 0.3333 0.6667 0.2500 x2  6 F 1.94
2 Co 0.3333 0.6667 0.7500 x2  6 F 2.07
3 Cu 0.0000 0.0000 0.0000 x2  6 F 2.28
4 F 0.0188 0.3649 0.1376 x12  1 Ga 1.94, 1 Co 2.07